# AcCrHgO4 | Alexandria via LeMat-Bulk | GGA+U | relaxed
# - Space-group type: C2/m, No. 12
# - V: 293 Å³/cell
# - VASP energy: -6.449 eV/atom
data_AcCrHgO4
_chemical_formula_sum 'Ac2 Cr2 Hg2 O8'
_symmetry_space_group_name_H-M 'P 1'
_symmetry_Int_Tables_number 1
_symmetry_space_group_name_Hall 'P 1'
_cell_length_a 6.937
_cell_length_b 6.937
_cell_length_c 7.191
_cell_angle_alpha 97.52
_cell_angle_beta 97.52
_cell_angle_gamma 58.89
loop_
_atom_site_label
_atom_site_fract_x
_atom_site_fract_y
_atom_site_fract_z
_atom_site_occupancy
Ac1 0.211 0.211 0.336 1
Ac2 0.789 0.789 0.664 1
Cr1 0.135 0.135 0.772 1
Cr2 0.865 0.865 0.228 1
Hg1 0.466 0.466 0.765 1
Hg2 0.534 0.534 0.235 1
O1 0.006 0.006 0.242 1
O2 0.017 0.628 0.367 1
O3 0.212 0.212 0.986 1
O4 0.372 0.983 0.633 1
O5 0.628 0.017 0.367 1
O6 0.788 0.788 0.014 1
O7 0.983 0.372 0.633 1
O8 0.994 0.994 0.758 1